Crystalline La6NdSmDy2 at its relaxed geometry, computed with GGA-PBE.

## Properties
V, Å³ per atom: 36.0
Formation enthalpy at 0 K, eV/atom: 0.187
Symmetry: C2/m

Cell: 8.9892 7.2415 6.7363 Å, 122.51 101.12 90.00°
Last column: nearest neighbours and their distance in Å.
Atoms (fractional coordinates):
La: 0.4362 0.6383 0.2766  5 La 3.58-3.78, 1 Nd 3.88
La: 0.1993 0.0441 0.6430  2 La 3.22-3.60, 2 Dy 3.25-3.56, 1 Sm 3.39, 1 Nd 3.61
La: 0.8007 0.4011 0.3570  2 La 3.22-3.60, 2 Dy 3.25-3.56, 1 Sm 3.39, 1 Nd 3.61
La: 0.1993 0.5989 0.6430  2 La 3.22-3.60, 2 Dy 3.25-3.56, 1 Sm 3.39, 1 Nd 3.61
La: 0.8007 0.9559 0.3570  2 La 3.22-3.60, 2 Dy 3.25-3.56, 1 Sm 3.39, 1 Nd 3.61
La: 0.5638 0.3617 0.7234  5 La 3.58-3.78, 1 Nd 3.88
Nd: 0.0000 0.5000 0.0000  10 La 3.61-4.02, 4 Dy 3.95
Sm: 0.5000 0.0000 0.0000  4 La 3.39, 2 Dy 3.44
Dy: 0.1609 0.0919 0.1838  1 Dy 3.16, 2 La 3.25, 1 Sm 3.44
Dy: 0.8391 0.9081 0.8162  1 Dy 3.16, 2 La 3.25, 1 Sm 3.44

Crystalline NaHPd2 at its relaxed geometry, computed with GGA-PBE.

## Properties
V, Å³ per atom: 13.8
E above lowest polymorph, eV/atom: 0.6621
Symmetry: Fm-3m

Cell: 4.2773 4.2773 4.2773 Å, 60.00 60.00 60.00°
Last column: nearest neighbours and their distance in Å.
Atoms (fractional coordinates):
Na: 0.5000 0.5000 0.5000  8 Pd 2.62
Pd: 0.2500 0.2500 0.2500  4 H 2.62, 4 Na 2.62
Pd: 0.7500 0.7500 0.7500  4 Na 2.62, 4 H 2.62
H: 0.0000 0.0000 0.0000  8 Pd 2.62

Crystalline PmPuSbTe at its relaxed geometry, computed with GGA-PBE.

## Properties
Raw formation energy, eV per atom: -1.119
V, Å³ per atom: 31.5
E above lowest polymorph, eV/atom: 0.0000
Symmetry: R3m

Cell: 4.4695 4.4695 7.7181 Å, 73.17 73.17 60.00°
Last column: nearest neighbours and their distance in Å.
Atoms (fractional coordinates):
Pm: 0.9420 0.9420 0.1742  3 Sb 3.14, 3 Te 3.20
Pu: 0.4457 0.4457 0.6629  3 Sb 3.12, 3 Te 3.16
Sb: 0.1931 0.1931 0.4207  3 Pu 3.12, 3 Pm 3.14
Te: 0.6957 0.6957 0.9130  3 Pu 3.16, 3 Pm 3.20

Crystalline Zn7Ir6 at its relaxed geometry, computed with GGA-PBE.

## Properties
V, Å³ per atom: 14.0
Formation enthalpy at 0 K, eV/atom: 0.108
Symmetry: R-3m

Cell: 9.3427 9.3427 9.3427 Å, 30.14 30.14 30.14°
Last column: nearest neighbours and their distance in Å.
Atoms (fractional coordinates):
Zn: 0.4105 0.9156 0.4105  5 Zn 2.40-2.54, 2 Ir 2.67
Zn: 0.9156 0.4105 0.4105  5 Zn 2.40-2.54, 2 Ir 2.67
Zn: 0.4105 0.4105 0.9156  5 Zn 2.40-2.54, 2 Ir 2.67
Zn: 0.5895 0.0844 0.5895  5 Zn 2.40-2.54, 2 Ir 2.67
Zn: 0.5895 0.5895 0.0844  5 Zn 2.40-2.54, 2 Ir 2.67
Zn: 0.0844 0.5895 0.5895  5 Zn 2.40-2.54, 2 Ir 2.67
Zn: 0.5000 0.5000 0.5000  6 Zn 2.54, 6 Ir 2.82
Ir: 0.9532 0.9532 0.9532  1 Ir 2.50, 6 Zn 2.67
Ir: 0.0468 0.0468 0.0468  1 Ir 2.50, 6 Zn 2.67
Ir: 0.8447 0.8447 0.8447  12 Zn 2.78-3.03, 4 Ir 2.87-2.90
Ir: 0.1553 0.1553 0.1553  12 Zn 2.78-3.03, 4 Ir 2.87-2.90
Ir: 0.6656 0.6656 0.6656  6 Zn 2.72-2.75, 3 Ir 2.81
Ir: 0.3344 0.3344 0.3344  6 Zn 2.72-2.75, 3 Ir 2.81

Crystalline CaHgCl at its relaxed geometry, computed with GGA-PBE.

## Properties
Raw formation energy, eV per atom: -1.044
V, Å³ per atom: 29.9
E above lowest polymorph, eV/atom: 0.1528
Symmetry: P-6m2

Cell: 4.7650 4.7650 4.5679 Å, 90.00 90.00 120.00°
Last column: nearest neighbours and their distance in Å.
Atoms (fractional coordinates):
Ca: 0.0000 0.0000 0.1666  3 Cl 2.75
Hg: 0.3333 0.6667 0.6666  6 Cl 3.58, 6 Ca 3.58
Cl: 0.6667 0.3333 0.1668  3 Ca 2.75

Crystalline TbPr4Au5 at its relaxed geometry, computed with GGA-PBE.

## Properties
V, Å³ per atom: 25.7
Formation enthalpy at 0 K, eV/atom: -0.767
Symmetry: P4/mmm

Cell: 3.6907 3.6907 18.8661 Å, 90.00 90.00 90.00°
Last column: nearest neighbours and their distance in Å.
Atoms (fractional coordinates):
Tb: 0.0000 0.0000 0.0000  8 Au 3.12
Pr: 0.0000 0.0000 0.1961  8 Au 3.24-3.29
Pr: 0.0000 0.0000 0.3988  8 Au 3.23
Pr: 0.0000 0.0000 0.6012  8 Au 3.23
Pr: 0.0000 0.0000 0.8039  8 Au 3.24-3.29
Au: 0.5000 0.5000 0.0902  4 Tb 3.12, 4 Pr 3.29, 1 Au 3.40
Au: 0.5000 0.5000 0.2977  8 Pr 3.23-3.24
Au: 0.5000 0.5000 0.5000  8 Pr 3.23
Au: 0.5000 0.5000 0.7023  8 Pr 3.23-3.24
Au: 0.5000 0.5000 0.9098  4 Tb 3.12, 4 Pr 3.29, 1 Au 3.40

Crystalline WBr2Cl at its relaxed geometry, computed with GGA-PBE.

## Properties
Raw formation energy, eV per atom: 0.111
V, Å³ per atom: 22.5
E above lowest polymorph, eV/atom: 0.3682
Symmetry: R3m

Cell: 10.1750 10.1750 10.1750 Å, 18.23 18.23 18.23°
Last column: nearest neighbours and their distance in Å.
Atoms (fractional coordinates):
Br: 0.0235 0.0235 0.0235  3 W 2.62
Br: 0.2505 0.2505 0.2505  6 Br 3.22
W: 0.7517 0.7517 0.7517  3 Cl 2.51, 3 Br 2.62
Cl: 0.4743 0.4743 0.4743  3 W 2.51

Crystalline Ho6In2Sn at its relaxed geometry, computed with GGA-PBE.

## Properties
V, Å³ per atom: 32.0
Formation enthalpy at 0 K, eV/atom: -0.192
Symmetry: Immm

Cell: 5.1436 7.2729 8.9053 Å, 114.10 106.80 90.00°
Last column: nearest neighbours and their distance in Å.
Atoms (fractional coordinates):
Ho: 0.1675 0.4188 0.3352  3 In 3.14-3.15, 1 Sn 3.17
Ho: 0.8325 0.0835 0.6648  3 In 3.14-3.15, 1 Sn 3.17
Ho: 0.8325 0.5812 0.6648  3 In 3.14-3.15, 1 Sn 3.17
Ho: 0.5000 0.2520 0.0000  2 In 3.14, 2 Sn 3.16
Ho: 0.1675 0.9165 0.3352  3 In 3.14-3.15, 1 Sn 3.17
Ho: 0.5000 0.7480 0.0000  2 In 3.14, 2 Sn 3.16
In: 0.6661 0.6663 0.3327  8 Ho 3.14-3.15
In: 0.3339 0.3337 0.6673  8 Ho 3.14-3.15
Sn: 0.0000 0.0000 0.0000  8 Ho 3.16-3.17

Crystalline BaCd3 at its relaxed geometry, computed with GGA-PBE.

## Properties
V, Å³ per atom: 30.3
Formation enthalpy at 0 K, eV/atom: -0.271
Symmetry: Pmma

Cell: 4.7638 6.1661 8.2591 Å, 90.00 90.00 90.00°
Last column: nearest neighbours and their distance in Å.
Atoms (fractional coordinates):
Ba: 0.0000 0.2500 0.6766  13 Cd 3.52-3.90
Ba: 0.0000 0.7500 0.3234  13 Cd 3.52-3.90
Cd: 0.0000 0.7500 0.8812  6 Cd 3.00-3.06
Cd: 0.0000 0.2500 0.1188  6 Cd 3.00-3.06
Cd: 0.5000 0.0000 0.0000  8 Cd 3.00-3.29
Cd: 0.5000 0.5000 0.0000  8 Cd 3.00-3.29
Cd: 0.5000 0.7500 0.6482  4 Cd 3.06-3.29
Cd: 0.5000 0.2500 0.3518  4 Cd 3.06-3.29

Crystalline Er3ThAl at its relaxed geometry, computed with GGA-PBE.

## Properties
V, Å³ per atom: 27.8
Formation enthalpy at 0 K, eV/atom: -0.056
Symmetry: P2_1/c

Cell: 5.8965 9.0546 11.0525 Å, 70.46 90.00 90.00°
Last column: nearest neighbours and their distance in Å.
Atoms (fractional coordinates):
Er: 0.8943 0.8809 0.2818  2 Al 3.30, 6 Er 3.30-3.60, 4 Th 3.40-3.49
Er: 0.1057 0.1191 0.7182  2 Al 3.30, 6 Er 3.30-3.60, 4 Th 3.40-3.49
Er: 0.3943 0.1191 0.2182  2 Al 3.30, 6 Er 3.30-3.60, 4 Th 3.40-3.49
Er: 0.6057 0.8809 0.7818  2 Al 3.30, 6 Er 3.30-3.60, 4 Th 3.40-3.49
Er: 0.4025 0.6970 0.3386  2 Al 3.16-3.44, 5 Er 3.21-3.46, 2 Th 3.37-3.46
Er: 0.5975 0.3030 0.6614  2 Al 3.16-3.44, 5 Er 3.21-3.46, 2 Th 3.37-3.46
Er: 0.9025 0.3030 0.1614  2 Al 3.16-3.44, 5 Er 3.21-3.46, 2 Th 3.37-3.46
Er: 0.0975 0.6970 0.8386  2 Al 3.16-3.44, 5 Er 3.21-3.46, 2 Th 3.37-3.46
Er: 0.1437 0.5086 0.6306  2 Al 3.05-3.19, 4 Er 3.21-3.40
Er: 0.8563 0.4914 0.3694  2 Al 3.05-3.19, 4 Er 3.21-3.40
Er: 0.6437 0.4914 0.8694  2 Al 3.05-3.19, 4 Er 3.21-3.40
Er: 0.3563 0.5086 0.1306  2 Al 3.05-3.19, 4 Er 3.21-3.40
Th: 0.2457 0.9081 0.5250  2 Al 3.25-3.38, 2 Th 3.30-3.38, 7 Er 3.37-3.49
Th: 0.7543 0.0919 0.4750  2 Al 3.25-3.38, 2 Th 3.30-3.38, 7 Er 3.37-3.49
Th: 0.7457 0.0919 0.9750  2 Al 3.25-3.38, 2 Th 3.30-3.38, 7 Er 3.37-3.49
Th: 0.2543 0.9081 0.0250  2 Al 3.25-3.38, 2 Th 3.30-3.38, 7 Er 3.37-3.49
Al: 0.7955 0.6979 0.0742  5 Er 3.05-3.30, 2 Th 3.25-3.38
Al: 0.2045 0.3021 0.9258  5 Er 3.05-3.30, 2 Th 3.25-3.38
Al: 0.2955 0.3021 0.4258  5 Er 3.05-3.30, 2 Th 3.25-3.38
Al: 0.7045 0.6979 0.5742  5 Er 3.05-3.30, 2 Th 3.25-3.38

Crystalline Tb6Y2Tm3Mg at its relaxed geometry, computed with GGA-PBE.

## Properties
V, Å³ per atom: 30.8
Formation enthalpy at 0 K, eV/atom: 0.026
Symmetry: C2/m

Cell: 6.1044 6.1044 11.6383 Å, 95.05 95.05 120.04°
Last column: nearest neighbours and their distance in Å.
Atoms (fractional coordinates):
Tb: 0.9171 0.5845 0.7490  3 Tm 3.50-3.51, 1 Mg 3.52, 6 Tb 3.52-3.53, 2 Y 3.52-3.53
Tb: 0.7502 0.7502 0.2521  3 Tm 3.49, 6 Tb 3.52-3.53, 2 Y 3.53, 1 Mg 3.54
Tb: 0.0829 0.4155 0.2510  3 Tm 3.50-3.51, 1 Mg 3.52, 6 Tb 3.52-3.53, 2 Y 3.52-3.53
Tb: 0.5845 0.9171 0.7490  3 Tm 3.50-3.51, 1 Mg 3.52, 6 Tb 3.52-3.53, 2 Y 3.52-3.53
Tb: 0.2498 0.2498 0.7479  3 Tm 3.49, 6 Tb 3.52-3.53, 2 Y 3.53, 1 Mg 3.54
Tb: 0.4155 0.0829 0.2510  3 Tm 3.50-3.51, 1 Mg 3.52, 6 Tb 3.52-3.53, 2 Y 3.52-3.53
Y: 0.3338 0.6662 0.0000  3 Y 3.52-3.53, 3 Mg 3.52-3.53, 6 Tb 3.52-3.53
Y: 0.6662 0.3338 0.0000  3 Y 3.52-3.53, 3 Mg 3.52-3.53, 6 Tb 3.52-3.53
Tm: 0.1662 0.8338 0.5000  6 Tb 3.49-3.51, 6 Tm 3.52-3.53
Tm: 0.8338 0.1662 0.5000  6 Tb 3.49-3.51, 6 Tm 3.52-3.53
Tm: 0.5000 0.5000 0.5000  6 Tb 3.49-3.50, 6 Tm 3.52-3.53
Mg: 0.0000 0.0000 0.0000  6 Tb 3.52-3.54, 6 Y 3.52-3.53

Crystalline ScNiTe at its relaxed geometry, computed with GGA-PBE.

## Properties
Raw formation energy, eV per atom: -0.560
V, Å³ per atom: 20.9
Symmetry: P1

Cell: 6.5805 6.5260 6.7795 Å, 68.99 67.92 87.94°
Last column: nearest neighbours and their distance in Å.
Atoms (fractional coordinates):
Sc: 0.1121 0.1751 0.3577  4 Ni 2.59-2.88
Sc: 0.1815 0.2901 0.8096  2 Ni 2.51-2.60
Sc: 0.6560 0.3362 0.2536  3 Ni 2.68-2.87, 4 Te 2.85-3.00
Sc: 0.3819 0.8410 0.6327  4 Ni 2.67-2.90
Ni: 0.0749 0.6000 0.0503  2 Te 2.54-2.59, 2 Ni 2.63, 1 Sc 2.70
Ni: 0.4511 0.4311 0.9439  2 Ni 2.59-2.63, 4 Sc 2.60-2.90, 3 Te 2.67-2.74
Ni: 0.4759 0.0245 0.1771  3 Sc 2.59-2.71, 1 Ni 2.59, 3 Te 2.63-2.70
Ni: 0.9870 0.9744 0.7965  3 Sc 2.51-2.67, 3 Te 2.53-2.71, 1 Ni 2.63
Te: 0.8779 0.6147 0.7801  3 Ni 2.53-2.74
Te: 0.8491 0.9190 0.2244  3 Ni 2.58-2.86
Te: 0.6415 0.1716 0.7149  3 Ni 2.67-2.71, 2 Sc 2.88-2.98
Te: 0.3184 0.6224 0.2592  3 Ni 2.54-2.71, 1 Sc 2.85